Material: IrRh2Cl
Method: DFT, meta-GGA SCAN
State: PBEsol geometry

abc: 6.111 6.111 6.111
angles: 90.00 90.00 90.00
Space group F-43m (No. 216)
One atom of each set of equivalent atoms:
Ir (0.000, 0.000, 0.000)
Rh (0.000, 0.000, 0.500)
Rh (0.250, 0.250, 0.750)
Cl (0.250, 0.250, 0.250)

Results
**Energy relative to the elements, uncorrected**: 336 kJ/mol of formula units
**DOS at the Fermi energy**: 4.1 states/eV/f.u.
**Total DFT energy (no corrections)**: -143.13 eV/f.u.
**Polymorph energy (0 for the lowest one)**: 0.648 eV per atom
**Spin magnetization**: 0.3 μB per formula unit